Compound: Nd2DyMg3ZnIn2
Source: the Open Quantum Materials Database
Functional: PBE-GGA
Structure: relaxed

Results
The theoretical density comes out at 5.9 g cm⁻³. The final energy is -3.209 eV per atom.

Unit cell a=4.6684 b=7.5487 c=7.5487 alpha=119.30 beta=90.00 gamma=90.00
Element x y z (fractional)
In  0.5000  0.6658  0.3388
In  0.5000  0.3388  0.6658
Mg  0.5000  0.7638  0.9995
Mg  0.5000  0.2339  0.2339
Mg  0.5000  0.9995  0.7638
Nd  0.0000  0.0020  0.4123
Nd  0.0000  0.4123  0.0020
Zn  0.0000  0.9923  0.9923
Dy  0.0000  0.5915  0.5915